Record 1
Here is a relaxed structure of Ca3Cd3PO8 from Alexandria. Energies are from PBE-GGA.

Summary:
The raw formation energy comes out at -1.902 eV per atom. For the volume, the calculation gives 636 Å³/cell. The value obtained for the total energy is -5.490 eV/atom.

Cell: 6.6989 6.6989 16.3577 Å, 90.00 90.00 120.00°
Space group R-3m (No. 166, hexagonal axes)
Symmetry-distinct sites (fractional):
Ca: 0.0000 0.5000 0.0000 (multiplicity 9)
Cd: 0.0000 0.5000 0.5000 (multiplicity 9)
P: 0.0000 0.0000 0.0000 (multiplicity 3)
O: 0.0000 0.0000 0.2544 (multiplicity 6)
O: 0.0796 0.5398 0.7286 (multiplicity 18)



Record 2
Here is a relaxed structure of Al2Sn2Hg from Alexandria. Energies are from PBE-GGA.

Summary:
The calculation puts the distance to the lowest polymorph of the same formula at 0.102 eV/f.u. For the volume, the calculation gives 261 Å³/cell. The value obtained for the total energy is -2.994 eV/atom. Its formation enthalpy at 0 K is 164 meV per atom.

Cell: 4.6832 4.6832 11.8858 Å, 90.00 90.00 90.00°
Space group I4/mmm (No. 139)
Symmetry-distinct sites (fractional):
Al: 0.0000 0.0000 0.1087 (multiplicity 4)
Sn: 0.0000 0.5000 0.2500 (multiplicity 4)
Hg: 0.0000 0.0000 0.5000 (multiplicity 2)



Record 3
Here is a relaxed structure of Tm6Zn5Au from Alexandria. Energies are from PBE-GGA.

Summary:
For the volume, the calculation gives 526 Å³/cell. The value obtained for the total energy is -3.484 eV/atom. Its formation enthalpy at 0 K is -444 meV per atom.

Cell: 4.9849 14.9639 7.0486 Å, 90.00 90.00 90.00°
Space group Cmmm (No. 65)
Symmetry-distinct sites (fractional):
Tm: 0.0000 0.0000 0.2500 (multiplicity 4)
Tm: 0.0000 0.3334 0.2485 (multiplicity 8)
Zn: 0.0000 0.1677 0.0000 (multiplicity 4)
Zn: 0.0000 0.1715 0.5000 (multiplicity 4)
Zn: 0.0000 0.5000 0.0000 (multiplicity 2)
Au: 0.0000 0.5000 0.5000 (multiplicity 2)



Record 4
Here is a relaxed structure of Ta2BeIr2 from Alexandria. Energies are from PBE-GGA.

Summary:
The calculation puts the distance to the lowest polymorph of the same formula at 0.000 eV/f.u. For the volume, the calculation gives 167 Å³/cell. The value obtained for the total energy is -9.209 eV/atom. Its formation enthalpy at 0 K is -178 meV per atom.

Cell: 7.4720 7.4720 2.9890 Å, 90.00 90.00 90.00°
Space group P4/mbm (No. 127)
Symmetry-distinct sites (fractional):
Ta: 0.1663 0.3337 0.0000 (multiplicity 4)
Be: 0.0000 0.0000 0.5000 (multiplicity 2)
Ir: 0.1325 0.6325 0.5000 (multiplicity 4)



Record 5
Here is a relaxed structure of TbSmBeAg from Alexandria. Energies are from PBE-GGA.

Summary:
For the volume, the calculation gives 371 Å³/cell. The value obtained for the total energy is -4.012 eV/atom. Its formation enthalpy at 0 K is -30 meV per atom.

Cell: 7.1861 7.1861 7.1861 Å, 90.00 90.00 90.00°
Space group F-43m (No. 216)
Symmetry-distinct sites (fractional):
Tb: 0.0000 0.0000 0.0000 (multiplicity 4)
Sm: 0.0000 0.0000 0.5000 (multiplicity 4)
Be: 0.2500 0.2500 0.7500 (multiplicity 4)
Ag: 0.2500 0.2500 0.2500 (multiplicity 4)



Record 6
Here is a relaxed structure of LiLaCe2Te4 from Alexandria. Energies are from PBE-GGA.

Summary:
The raw formation energy comes out at -1.358 eV per atom. For the volume, the calculation gives 257 Å³/cell. The value obtained for the total energy is -5.267 eV/atom.

Cell: 7.7408 4.4822 7.8506 Å, 90.00 109.36 90.00°
Space group P2/m (No. 10)
Symmetry-distinct sites (fractional):
Li: 0.0000 0.0000 0.0000 (multiplicity 1)
La: 0.5000 0.5000 0.0000 (multiplicity 1)
Ce: 0.0000 0.5000 0.5000 (multiplicity 1)
Ce: 0.5000 0.0000 0.5000 (multiplicity 1)
Te: 0.2384 0.5000 0.2417 (multiplicity 2)
Te: 0.2406 0.0000 0.7526 (multiplicity 2)



Record 7
Here is a relaxed structure of Re2TeSe from Alexandria. Energies are from PBE-GGA.

Summary:
The calculation puts the distance to the lowest polymorph of the same formula at 2.242 eV/f.u. The raw formation energy comes out at 0.785 eV per atom. For the volume, the calculation gives 92 Å³/cell. The value obtained for the total energy is -7.095 eV/atom.

Cell: 4.3160 3.9837 5.3651 Å, 90.00 94.12 90.00°
Space group P2/m (No. 10)
Symmetry-distinct sites (fractional):
Re: 0.1963 0.0000 0.3638 (multiplicity 2)
Te: 0.0000 0.5000 0.0000 (multiplicity 1)
Se: 0.5000 0.5000 0.5000 (multiplicity 1)



Record 8
Here is a relaxed structure of HRuO3 from Alexandria. Energies are from PBE-GGA.

Summary:
For the volume, the calculation gives 192 Å³/cell. The value obtained for the total energy is -6.340 eV/atom.

Cell: 5.2783 7.5219 4.8262 Å, 90.00 90.00 90.00°
Space group Pnma (No. 62)
Symmetry-distinct sites (fractional):
H: 0.0604 0.2500 0.1405 (multiplicity 4)
Ru: 0.0000 0.0000 0.5000 (multiplicity 4)
O: 0.0304 0.2500 0.3427 (multiplicity 4)
O: 0.1905 0.0661 0.8235 (multiplicity 8)



Record 9
Here is a relaxed structure of ZrBe3 from Alexandria. Energies are from PBE-GGA.

Summary:
The calculation puts the distance to the lowest polymorph of the same formula at 2.346 eV/f.u. For the volume, the calculation gives 157 Å³/cell. The value obtained for the total energy is -4.526 eV/atom. Its formation enthalpy at 0 K is 406 meV per atom.

Cell: 8.5471 8.5471 2.4753 Å, 90.00 90.00 120.00°
Space group R-3m (No. 166, hexagonal axes)
Symmetry-distinct sites (fractional):
Zr: 0.0000 0.0000 0.0000 (multiplicity 3)
Be: 0.0000 0.5000 0.0000 (multiplicity 9)



Record 10
Here is a relaxed structure of CsIn3Os from Alexandria. Energies are from PBE-GGA.

Summary:
The calculation puts the distance to the lowest polymorph of the same formula at 0.000 eV/f.u. For the volume, the calculation gives 150 Å³/cell. The value obtained for the total energy is -4.063 eV/atom. Its formation enthalpy at 0 K is -3 meV per atom.

Cell: 5.3184 5.3184 5.3184 Å, 90.00 90.00 90.00°
Space group Pm-3m (No. 221)
Symmetry-distinct sites (fractional):
Cs: 0.0000 0.0000 0.0000 (multiplicity 1)
In: 0.0000 0.5000 0.5000 (multiplicity 3)
Os: 0.5000 0.5000 0.5000 (multiplicity 1)



Record 11
Here is a relaxed structure of InPdBr from Alexandria. Energies are from PBE-GGA.

Summary:
The raw formation energy comes out at -0.220 eV per atom. For the volume, the calculation gives 287 Å³/cell. The value obtained for the total energy is -3.421 eV/atom.

Cell: 11.7059 3.6713 6.6718 Å, 90.00 90.00 90.00°
Space group Amm2 (No. 38)
Symmetry-distinct sites (fractional):
In: 0.1462 0.0000 0.0000 (multiplicity 4)
Pd: 0.0000 0.0000 0.6725 (multiplicity 2)
Pd: 0.5000 0.0000 0.8173 (multiplicity 2)
Br: 0.3443 0.0000 0.3281 (multiplicity 4)



Record 12
Here is a relaxed structure of TbCd5Hg4 from Alexandria. Energies are from PBE-GGA.

Summary:
For the volume, the calculation gives 516 Å³/cell. The value obtained for the total energy is -1.165 eV/atom. Its formation enthalpy at 0 K is -123 meV per atom.

Cell: 16.4377 4.9297 7.0058 Å, 90.00 114.55 90.00°
Space group C2/m (No. 12)
Symmetry-distinct sites (fractional):
Tb: 0.0000 0.0000 0.0000 (multiplicity 2)
Cd: 0.0000 0.0000 0.5000 (multiplicity 2)
Cd: 0.1583 0.5000 0.1568 (multiplicity 4)
Cd: 0.1793 0.0000 0.4455 (multiplicity 4)
Hg: 0.0034 0.5000 0.2808 (multiplicity 4)
Hg: 0.1747 0.0000 0.9065 (multiplicity 4)



Record 13
Here is a relaxed structure of La5CeNd2Er from Alexandria. Energies are from PBE-GGA.

Summary:
For the volume, the calculation gives 1261 Å³/cell. The value obtained for the total energy is -4.752 eV/atom. Its formation enthalpy at 0 K is 211 meV per atom.

Cell: 8.7416 8.7416 16.5044 Å, 90.00 90.00 90.00°
Space group I4/mcm (No. 140)
Symmetry-distinct sites (fractional):
La: 0.0000 0.0000 0.0000 (multiplicity 4)
La: 0.1854 0.3146 0.1487 (multiplicity 16)
Ce: 0.0000 0.5000 0.2500 (multiplicity 4)
Nd: 0.1282 0.3718 0.5000 (multiplicity 8)
Er: 0.0000 0.0000 0.2500 (multiplicity 4)



Record 14
Here is a relaxed structure of LiLa2DyTe4 from Alexandria. Energies are from PBE-GGA.

Summary:
The raw formation energy comes out at -1.427 eV per atom. For the volume, the calculation gives 250 Å³/cell. The value obtained for the total energy is -5.044 eV/atom.

Cell: 7.6869 4.4579 7.7526 Å, 90.00 109.46 90.00°
Space group P2/m (No. 10)
Symmetry-distinct sites (fractional):
Li: 0.0000 0.0000 0.0000 (multiplicity 1)
La: 0.5000 0.0000 0.5000 (multiplicity 1)
La: 0.5000 0.5000 0.0000 (multiplicity 1)
Dy: 0.0000 0.5000 0.5000 (multiplicity 1)
Te: 0.2287 0.5000 0.2396 (multiplicity 2)
Te: 0.2304 0.0000 0.7486 (multiplicity 2)



Record 15
Here is a relaxed structure of CoAgSn2 from Alexandria. Energies are from PBE-GGA.

Summary:
The calculation puts the distance to the lowest polymorph of the same formula at 0.000 eV/f.u. For the volume, the calculation gives 250 Å³/cell. The value obtained for the total energy is -4.330 eV/atom. Its formation enthalpy at 0 K is 161 meV per atom.

Cell: 3.2357 3.2357 27.5685 Å, 90.00 90.00 120.00°
Space group R-3m (No. 166, hexagonal axes)
Symmetry-distinct sites (fractional):
Co: 0.0000 0.0000 0.0000 (multiplicity 3)
Ag: 0.0000 0.0000 0.5000 (multiplicity 3)
Sn: 0.0000 0.0000 0.4007 (multiplicity 6)



Record 16
Here is a relaxed structure of La3Tb2Dy2 from Alexandria. Energies are from PBE-GGA.

Summary:
For the volume, the calculation gives 478 Å³/cell. The value obtained for the total energy is -4.640 eV/atom. Its formation enthalpy at 0 K is 110 meV per atom.

Cell: 17.7904 3.5328 8.6597 Å, 90.00 118.57 90.00°
Space group C2/m (No. 12)
Symmetry-distinct sites (fractional):
La: 0.0000 0.0000 0.0000 (multiplicity 2)
La: 0.2135 0.0000 0.2970 (multiplicity 4)
Tb: 0.0641 0.5000 0.4103 (multiplicity 4)
Dy: 0.1423 0.0000 0.8223 (multiplicity 4)



Record 17
Here is a relaxed structure of Zn2Ag3 from Alexandria. Energies are from PBE-GGA.

Summary:
The calculation puts the distance to the lowest polymorph of the same formula at 0.134 eV/f.u. For the volume, the calculation gives 251 Å³/cell. The value obtained for the total energy is -2.225 eV/atom. Its formation enthalpy at 0 K is -5 meV per atom.

Cell: 2.9273 2.9273 33.7822 Å, 90.00 90.00 120.00°
Space group R-3m (No. 166, hexagonal axes)
Symmetry-distinct sites (fractional):
Zn: 0.0000 0.0000 0.1010 (multiplicity 6)
Ag: 0.0000 0.0000 0.2976 (multiplicity 6)
Ag: 0.0000 0.0000 0.5000 (multiplicity 3)



Record 18
Here is a relaxed structure of K2Rb2NaHg4 from Alexandria. Energies are from PBE-GGA.

Summary:
For the volume, the calculation gives 757 Å³/cell. The value obtained for the total energy is -0.867 eV/atom. Its formation enthalpy at 0 K is -128 meV per atom.

Cell: 8.2252 8.2252 11.1907 Å, 90.00 90.00 90.00°
Space group I4/mmm (No. 139)
Symmetry-distinct sites (fractional):
K: 0.0000 0.0000 0.1957 (multiplicity 4)
Rb: 0.0000 0.5000 0.2500 (multiplicity 4)
Na: 0.0000 0.0000 0.5000 (multiplicity 2)
Hg: 0.2308 0.2308 0.0000 (multiplicity 8)



Record 19
Here is a relaxed structure of La3Ta4 from Alexandria. Energies are from PBE-GGA.

Summary:
The calculation puts the distance to the lowest polymorph of the same formula at 5.777 eV/f.u. For the volume, the calculation gives 170 Å³/cell. The value obtained for the total energy is -7.735 eV/atom. Its formation enthalpy at 0 K is 1150 meV per atom.

Cell: 6.0575 6.0575 5.3373 Å, 90.00 90.00 120.00°
Space group P6/mmm (No. 191)
Symmetry-distinct sites (fractional):
La: 0.0000 0.5000 0.0000 (multiplicity 3)
Ta: 0.0000 0.0000 0.2549 (multiplicity 2)
Ta: 0.3333 0.6667 0.5000 (multiplicity 2)



Record 20
Here is a relaxed structure of DyTm2Pt from Alexandria. Energies are from PBE-GGA.

Summary:
The calculation puts the distance to the lowest polymorph of the same formula at 0.000 eV/f.u. For the volume, the calculation gives 426 Å³/cell. The value obtained for the total energy is -5.637 eV/atom. Its formation enthalpy at 0 K is -740 meV per atom.

Cell: 7.0063 9.4325 6.4399 Å, 90.00 90.00 90.00°
Space group Pnma (No. 62)
Symmetry-distinct sites (fractional):
Dy: 0.0236 0.2500 0.1278 (multiplicity 4)
Tm: 0.1797 0.0607 0.6784 (multiplicity 8)
Pt: 0.1112 0.7500 0.4475 (multiplicity 4)